(1)
A plane-wave DFT calculation with GGA-PBE was carried out for a relaxed Ta2PSe crystal.

```
8
Lattice="-1.460 2.747 3.611 -3.818 -2.794 0.582 1.172 -4.240 6.846" Properties=species:S:1:pos:R:3 pbc="T T T"
P -2.639 -0.023 2.097
P -2.642 -3.529 4.762
Se 0.000 0.000 0.000
Se -1.463 -0.758 6.277
Ta -1.039 0.200 3.899
Ta -2.333 -2.355 2.669
Ta -1.251 -3.308 6.730
Ta -3.589 -3.111 8.781
```

Output
The value obtained for the raw formation energy is 167 meV/atom. As for the space-group type: I-42d (122). The magnetic moment comes out at 0.000 μB per cell.


(2)
A plane-wave DFT calculation with GGA-PBE was carried out for a relaxed Ta11P2Se8 crystal.

```
42
Lattice="-1.151 1.649 -2.805 -0.371 -10.456 -5.995 -18.306 -2.736 5.904" Properties=species:S:1:pos:R:3 pbc="T T T"
P -2.338 -1.248 0.226
P -16.338 -11.943 -0.317
P -12.188 -5.212 -0.186
P -7.640 -6.330 -2.710
Se -10.182 -2.677 2.604
Se -8.495 -10.514 -2.695
Se -1.707 -3.389 -3.415
Se -18.121 -8.153 0.519
Se -15.327 -7.117 2.105
Se -3.350 -6.074 -2.196
Se -6.591 -0.448 0.318
Se -13.237 -11.094 -3.214
Se -17.345 -4.818 4.285
Se -1.332 -8.373 -4.376
Se -8.794 -3.377 -0.501
Se -11.034 -8.165 -2.396
Se -5.328 -3.698 0.013
Se -13.349 -9.494 -0.104
Se -15.036 -3.635 1.909
Se -4.793 -7.907 -4.806
Ta 0.000 0.000 0.000
Ta -9.914 -5.771 -1.448
Ta -13.132 -5.599 2.097
Ta -5.545 -7.593 -2.188
Ta -4.481 -1.323 -1.063
Ta -15.347 -10.219 -1.834
Ta -2.783 -3.724 -1.047
Ta -15.894 -9.468 0.956
Ta -12.461 -2.844 1.318
Ta -7.367 -8.698 -4.214
Ta -7.234 -5.590 -0.318
Ta -11.443 -7.601 0.227
Ta -16.826 -2.295 3.432
Ta -3.002 -9.247 -6.328
Ta -13.920 -2.605 4.180
Ta -4.757 -10.586 -4.271
Ta -5.490 -4.585 -2.566
Ta -14.338 -6.957 -0.330
Ta -10.188 -4.882 1.311
Ta -8.489 -8.310 -1.402
Ta -1.556 -1.163 -2.169
Ta -18.272 -10.379 -0.728
```

Output
The value obtained for the raw formation energy is -713 meV/atom. As for the space-group type: Pnnm (58). The magnetic moment comes out at 0.000 μB per cell.


(3)
A plane-wave DFT calculation with GGA-PBE was carried out for a relaxed TaP2Se crystal.

```
4
Lattice="-0.807 -1.652 4.380 -0.747 -3.197 -1.343 4.043 -2.048 -0.028" Properties=species:S:1:pos:R:3 pbc="T T T"
P 2.959 -4.893 -1.300
P 1.985 -2.975 -0.756
Se 0.421 -2.137 1.847
Ta 2.068 -4.760 1.162
```

Output
The value obtained for the raw formation energy is -31 meV/atom. As for the space-group type: P2/m (10). The magnetic moment comes out at 0.000 μB per cell.